{
  "formula": "Sm5U3As8",
  "functional": "PBE-GGA",
  "state": "relaxed",
  "lattice_angstrom": [[4.144, 2.393, 6.847], [-4.144, 2.393, 6.847], [0.000, -4.786, 6.847]],
  "species": ["Sm", "Sm", "Sm", "Sm", "Sm", "U", "U", "U", "As", "As", "As", "As", "As", "As", "As", "As"],
  "fractional_positions": [[0.000, 0.000, 0.000], [0.000, 0.500, 0.500], [0.500, 0.000, 0.500], [0.500, 0.500, 0.000], [0.500, 0.500, 0.500], [0.000, 0.000, 0.500], [0.000, 0.500, 0.000], [0.500, 0.000, 0.000], [0.242, 0.750, 0.750], [0.247, 0.247, 0.247], [0.250, 0.250, 0.758], [0.250, 0.758, 0.250], [0.750, 0.242, 0.750], [0.750, 0.750, 0.242], [0.753, 0.753, 0.753], [0.758, 0.250, 0.250]],
  "mass_density_g_cm3": 8.4,
  "e_form_ev_per_atom": -1.2275
}



{
  "formula": "Sm2YUAs4",
  "functional": "PBE-GGA",
  "state": "relaxed",
  "lattice_angstrom": [[7.196, 0.000, 0.000], [0.000, 4.141, 0.000], [-2.363, 0.000, 6.802]],
  "species": ["Sm", "Sm", "Y", "U", "As", "As", "As", "As"],
  "fractional_positions": [[0.000, 0.000, 0.000], [0.500, 0.500, 0.000], [0.000, 0.500, 0.500], [0.500, 0.000, 0.500], [0.252, 0.000, 0.741], [0.255, 0.500, 0.259], [0.745, 0.500, 0.741], [0.748, 0.000, 0.259]],
  "mass_density_g_cm3": 7.6,
  "e_form_ev_per_atom": -1.3333
}



{
  "formula": "SmYU2As4",
  "functional": "PBE-GGA",
  "state": "relaxed",
  "lattice_angstrom": [[7.088, 0.000, 0.000], [0.000, 4.092, 0.000], [-2.361, 0.000, 6.847]],
  "species": ["Sm", "Y", "U", "U", "As", "As", "As", "As"],
  "fractional_positions": [[0.000, 0.000, 0.000], [0.500, 0.500, 0.000], [0.000, 0.500, 0.500], [0.500, 0.000, 0.500], [0.251, 0.000, 0.745], [0.255, 0.500, 0.257], [0.745, 0.500, 0.743], [0.749, 0.000, 0.255]],
  "mass_density_g_cm3": 8.5,
  "e_form_ev_per_atom": -1.1393
}



{
  "formula": "SmZrU2As4",
  "functional": "PBE-GGA",
  "state": "relaxed",
  "lattice_angstrom": [[6.976, 0.000, 0.000], [0.000, 4.025, 0.000], [-2.313, 0.000, 6.726]],
  "species": ["Sm", "Zr", "U", "U", "As", "As", "As", "As"],
  "fractional_positions": [[0.000, 0.000, 0.000], [0.500, 0.500, 0.000], [0.000, 0.500, 0.500], [0.500, 0.000, 0.500], [0.260, 0.500, 0.250], [0.261, 0.000, 0.756], [0.739, 0.000, 0.244], [0.740, 0.500, 0.750]],
  "mass_density_g_cm3": 8.9,
  "e_form_ev_per_atom": -1.0302
}



{
  "formula": "Sm2VAs",
  "functional": "PBE-GGA",
  "state": "relaxed",
  "lattice_angstrom": [[1.911, 1.104, 9.538], [-1.911, 1.104, 9.538], [0.000, -2.207, 9.538]],
  "species": ["Sm", "Sm", "V", "As"],
  "fractional_positions": [[0.104, 0.104, 0.104], [0.896, 0.896, 0.896], [0.000, 0.000, 0.000], [0.500, 0.500, 0.500]],
  "mass_density_g_cm3": 5.9,
  "e_form_ev_per_atom": 0.1536
}



{
  "formula": "SmY3As4",
  "functional": "PBE-GGA",
  "state": "relaxed",
  "lattice_angstrom": [[5.862, 0.000, 0.000], [0.000, 5.862, 0.000], [0.000, 0.000, 5.862]],
  "species": ["Sm", "Y", "Y", "Y", "As", "As", "As", "As"],
  "fractional_positions": [[0.000, 0.000, 0.000], [0.000, 0.500, 0.500], [0.500, 0.000, 0.500], [0.500, 0.500, 0.000], [0.000, 0.000, 0.500], [0.000, 0.500, 0.000], [0.500, 0.000, 0.000], [0.500, 0.500, 0.500]],
  "mass_density_g_cm3": 5.9,
  "e_form_ev_per_atom": -1.5490
}



{
  "formula": "Sm2YAs",
  "functional": "PBE-GGA",
  "state": "relaxed",
  "lattice_angstrom": [[1.971, 1.138, 9.558], [-1.971, 1.138, 9.558], [0.000, -2.276, 9.558]],
  "species": ["Sm", "Sm", "Y", "As"],
  "fractional_positions": [[0.228, 0.228, 0.228], [0.772, 0.772, 0.772], [0.000, 0.000, 0.000], [0.500, 0.500, 0.500]],
  "mass_density_g_cm3": 6.0,
  "e_form_ev_per_atom": -0.5770
}



{
  "formula": "SmYAs",
  "functional": "PBE-GGA",
  "state": "relaxed",
  "lattice_angstrom": [[4.224, -5.698, 0.000], [4.224, 5.698, 0.000], [0.000, 0.000, 7.408]],
  "species": ["Sm", "Sm", "Sm", "Sm", "Y", "Y", "Y", "Y", "As", "As", "As", "As"],
  "fractional_positions": [[0.212, 0.788, 0.829], [0.288, 0.712, 0.329], [0.712, 0.288, 0.671], [0.788, 0.212, 0.171], [0.212, 0.212, 0.500], [0.288, 0.288, 0.000], [0.712, 0.712, 0.000], [0.788, 0.788, 0.500], [0.051, 0.949, 0.208], [0.449, 0.551, 0.708], [0.551, 0.449, 0.292], [0.949, 0.051, 0.792]],
  "mass_density_g_cm3": 5.9,
  "e_form_ev_per_atom": -0.8200
}



{
  "formula": "Sm5YAs6",
  "functional": "PBE-GGA",
  "state": "relaxed",
  "lattice_angstrom": [[3.639, -6.300, 0.000], [3.639, 6.300, 0.000], [-2.426, 0.000, 6.858]],
  "species": ["Sm", "Sm", "Sm", "Sm", "Sm", "Y", "As", "As", "As", "As", "As", "As"],
  "fractional_positions": [[0.000, 0.000, 0.000], [0.167, 0.833, 0.500], [0.333, 0.667, 0.000], [0.667, 0.333, 0.000], [0.833, 0.167, 0.500], [0.500, 0.500, 0.500], [0.087, 0.417, 0.252], [0.252, 0.252, 0.749], [0.417, 0.087, 0.252], [0.583, 0.913, 0.748], [0.748, 0.748, 0.251], [0.913, 0.583, 0.748]],
  "mass_density_g_cm3": 6.8,
  "e_form_ev_per_atom": -1.5321
}



{
  "formula": "SmYAs2",
  "functional": "PBE-GGA",
  "state": "relaxed",
  "lattice_angstrom": [[-2.948, 2.948, 5.897], [2.948, -2.948, 5.897], [2.948, 2.948, -5.897]],
  "species": ["Sm", "Sm", "Y", "Y", "As", "As", "As", "As"],
  "fractional_positions": [[0.375, 0.625, 0.750], [0.625, 0.375, 0.250], [0.125, 0.875, 0.250], [0.875, 0.125, 0.750], [0.123, 0.373, 0.750], [0.373, 0.123, 0.250], [0.627, 0.877, 0.750], [0.877, 0.627, 0.250]],
  "mass_density_g_cm3": 6.3,
  "e_form_ev_per_atom": -1.5406
}



{
  "formula": "SmY2As",
  "functional": "PBE-GGA",
  "state": "relaxed",
  "lattice_angstrom": [[1.934, 1.117, 9.479], [-1.934, 1.117, 9.479], [0.000, -2.233, 9.479]],
  "species": ["Sm", "Y", "Y", "As"],
  "fractional_positions": [[0.000, 0.000, 0.000], [0.227, 0.227, 0.227], [0.773, 0.773, 0.773], [0.500, 0.500, 0.500]],
  "mass_density_g_cm3": 5.5,
  "e_form_ev_per_atom": -0.6287
}



{
  "formula": "SmY4As5",
  "functional": "PBE-GGA",
  "state": "relaxed",
  "lattice_angstrom": [[-2.072, 2.929, 10.352], [2.072, -2.929, 10.352], [2.072, 2.929, -10.352]],
  "species": ["Sm", "Y", "Y", "Y", "Y", "As", "As", "As", "As", "As"],
  "fractional_positions": [[0.000, 0.000, 0.000], [0.201, 0.201, 0.000], [0.400, 0.400, 0.000], [0.600, 0.600, 0.000], [0.799, 0.799, 0.000], [0.102, 0.602, 0.500], [0.300, 0.800, 0.500], [0.500, 0.000, 0.500], [0.700, 0.200, 0.500], [0.898, 0.398, 0.500]],
  "mass_density_g_cm3": 5.8,
  "e_form_ev_per_atom": -1.5496
}



{
  "formula": "SmYAs2",
  "functional": "PBE-GGA",
  "state": "relaxed",
  "lattice_angstrom": [[2.067, 1.193, 7.094], [-2.067, 1.193, 7.094], [0.000, -2.386, 7.094]],
  "species": ["Sm", "Y", "As", "As"],
  "fractional_positions": [[0.000, 0.000, 0.000], [0.171, 0.171, 0.171], [0.420, 0.420, 0.420], [0.585, 0.585, 0.585]],
  "mass_density_g_cm3": 6.2,
  "e_form_ev_per_atom": -1.3813
}



{
  "formula": "Sm4YAs5",
  "functional": "PBE-GGA",
  "state": "relaxed",
  "lattice_angstrom": [[-4.692, 4.692, 2.969], [4.692, -4.692, 2.969], [4.692, 4.692, -2.969]],
  "species": ["Sm", "Sm", "Sm", "Sm", "Y", "As", "As", "As", "As", "As"],
  "fractional_positions": [[0.099, 0.700, 0.799], [0.300, 0.099, 0.399], [0.700, 0.901, 0.601], [0.901, 0.300, 0.201], [0.500, 0.500, 0.000], [0.000, 0.000, 0.000], [0.203, 0.401, 0.603], [0.401, 0.797, 0.198], [0.599, 0.203, 0.802], [0.797, 0.599, 0.397]],
  "mass_density_g_cm3": 6.8,
  "e_form_ev_per_atom": -1.5328
}



{
  "formula": "SmYAs",
  "functional": "PBE-GGA",
  "state": "relaxed",
  "lattice_angstrom": [[4.011, 0.000, 0.000], [-2.005, 3.473, 0.000], [0.000, 0.000, 6.570]],
  "species": ["Sm", "Y", "As"],
  "fractional_positions": [[0.000, 0.000, 0.000], [0.667, 0.333, 0.481], [0.333, 0.667, 0.734]],
  "mass_density_g_cm3": 5.7,
  "e_form_ev_per_atom": -0.8723
}



{
  "formula": "SmYAs2",
  "functional": "PBE-GGA",
  "state": "relaxed",
  "lattice_angstrom": [[2.086, 1.205, 6.800], [-2.086, 1.205, 6.800], [0.000, -2.409, 6.800]],
  "species": ["Sm", "Y", "As", "As"],
  "fractional_positions": [[0.000, 0.000, 0.000], [0.500, 0.500, 0.500], [0.248, 0.248, 0.248], [0.752, 0.752, 0.752]],
  "mass_density_g_cm3": 6.3,
  "e_form_ev_per_atom": -1.5414
}



{
  "formula": "SmY2ZrAs4",
  "functional": "PBE-GGA",
  "state": "relaxed",
  "lattice_angstrom": [[7.050, 0.000, 0.000], [0.000, 4.073, 0.000], [-2.331, 0.000, 6.663]],
  "species": ["Sm", "Y", "Y", "Zr", "As", "As", "As", "As"],
  "fractional_positions": [[0.000, 0.000, 0.000], [0.500, 0.000, 0.500], [0.500, 0.500, 0.000], [0.000, 0.500, 0.500], [0.241, 0.000, 0.738], [0.248, 0.500, 0.259], [0.752, 0.500, 0.741], [0.759, 0.000, 0.262]],
  "mass_density_g_cm3": 6.2,
  "e_form_ev_per_atom": -1.4268
}



{
  "formula": "SmYZr2As4",
  "functional": "PBE-GGA",
  "state": "relaxed",
  "lattice_angstrom": [[6.920, 0.000, 0.000], [0.000, 3.991, 0.000], [-2.313, 0.000, 6.605]],
  "species": ["Sm", "Y", "Zr", "Zr", "As", "As", "As", "As"],
  "fractional_positions": [[0.000, 0.000, 0.000], [0.500, 0.500, 0.000], [0.000, 0.500, 0.500], [0.500, 0.000, 0.500], [0.247, 0.000, 0.734], [0.258, 0.500, 0.268], [0.742, 0.500, 0.732], [0.753, 0.000, 0.266]],
  "mass_density_g_cm3": 6.6,
  "e_form_ev_per_atom": -1.3173
}



{
  "formula": "SmZnAs",
  "functional": "PBE-GGA",
  "state": "relaxed",
  "lattice_angstrom": [[2.409, 1.391, 7.777], [-2.409, 1.391, 7.777], [0.000, -2.782, 7.777]],
  "species": ["Sm", "Sm", "Zn", "Zn", "As", "As"],
  "fractional_positions": [[0.092, 0.092, 0.092], [0.908, 0.908, 0.908], [0.327, 0.327, 0.327], [0.673, 0.673, 0.673], [0.218, 0.218, 0.218], [0.782, 0.782, 0.782]],
  "mass_density_g_cm3": 6.2,
  "e_form_ev_per_atom": -0.6090
}



{
  "formula": "Sm2ZrAs3",
  "functional": "PBE-GGA",
  "state": "relaxed",
  "lattice_angstrom": [[-2.052, 2.052, 8.646], [2.052, -2.052, 8.646], [2.052, 2.052, -8.646]],
  "species": ["Sm", "Sm", "Zr", "As", "As", "As"],
  "fractional_positions": [[0.167, 0.167, 0.000], [0.833, 0.833, 0.000], [0.500, 0.500, 0.000], [0.000, 0.000, 0.000], [0.340, 0.340, 0.000], [0.660, 0.660, 0.000]],
  "mass_density_g_cm3": 7.0,
  "e_form_ev_per_atom": -1.3406
}